# 1
CsAsF3 after structural relaxation. Source: the Alexandria database, functional GGA-PBE.

abc: 8.181 8.181 4.581
angles: 104.36 104.36 50.61
Sites, in units of the cell vectors:
Cs 0.157 0.157 0.112
Cs 0.843 0.843 0.888
As 0.428 0.428 0.635
As 0.572 0.572 0.365
F 0.163 0.558 0.372
F 0.280 0.720 0.000
F 0.442 0.837 0.628
F 0.558 0.163 0.372
F 0.720 0.280 0.000
F 0.837 0.442 0.628

* crystal system: monoclinic
* E_tot: -44.21 eV for the cell shown
* space-group type: C2/m (12)
* E_form (uncorrected): -2.198 eV/atom
* ΔE to the lowest computed polymorph: 0.13 eV/f.u.
* DOS at the Fermi energy: 0.000 states/eV/atom
* V: 22.79 Å³/atom



# 2
MgGaCoPb2 after structural relaxation. Source: the Alexandria database, functional GGA-PBE.

abc: 5.490 5.490 4.529
angles: 90.00 90.00 90.00
Sites, in units of the cell vectors:
Mg 0.000 0.000 0.000
Ga 0.500 0.500 0.500
Co 0.500 0.500 0.000
Pb 0.000 0.500 0.500
Pb 0.500 0.000 0.500

* crystal system: tetragonal
* E_tot: -16.21 eV for the cell shown
* space-group type: P4/mmm (123)
* ΔE_f: 0.588 eV per atom
* DOS at the Fermi energy: 0.923 states/eV/atom
* V: 27.30 Å³/atom



# 3
Sr2WAu after structural relaxation. Source: the Alexandria database, functional GGA-PBE.

abc: 6.344 6.344 5.736
angles: 108.86 108.86 29.41
Sites, in units of the cell vectors:
Sr 0.000 0.000 0.000
Sr 0.195 0.195 0.626
W 0.430 0.430 0.452
Au 0.756 0.756 0.158

* crystal system: monoclinic
* E_tot: -17.34 eV for the cell shown
* space-group type: Cm (8)
* ΔE to the lowest computed polymorph: 0.22 eV/f.u.
* ΔE_f: 0.562 eV per atom
* DOS at the Fermi energy: 1.132 states/eV/atom
* V: 26.71 Å³/atom



# 4
NaSr2HoTe4 after structural relaxation. Source: the Alexandria database, functional GGA-PBE.

abc: 7.905 4.599 7.998
angles: 90.00 108.70 90.00
Sites, in units of the cell vectors:
Na 0.000 0.000 0.000
Sr 0.500 0.000 0.500
Sr 0.500 0.500 0.000
Ho 0.000 0.500 0.500
Te 0.228 0.000 0.736
Te 0.235 0.500 0.257
Te 0.765 0.500 0.743
Te 0.772 0.000 0.264

* crystal system: monoclinic
* E_tot: -33.67 eV for the cell shown
* space-group type: P2/m (10)
* E_form (uncorrected): -1.481 eV/atom
* V: 34.43 Å³/atom